Compound: Sr2ZnSn3
Source: Alexandria
Functional: PBE
Structure: optimized geometry

symmetry = Cm
DFT total energy = -19.51 eV per cell
energy of formation = -0.478 eV/atom
energy above the most stable polymorph in this dataset = 0.000 eV/atom
density of states at the Fermi level = 0.25 states/eV per atom
magnetization = 0.000 μB per cell

a = 6.473 Å, b = 6.473 Å, c = 8.153 Å
α = 125.60°, β = 125.60°, γ = 42.43°
Fractional positions:
Sr 0.000 0.000 0.000
Sr 0.541 0.541 0.459
Zn 0.641 0.641 0.913
Sn 0.259 0.259 0.914
Sn 0.308 0.308 0.585
Sn 0.788 0.788 0.339